1.
# PmYSc3 (PBE, relaxed)
data_PmYSc3
_symmetry_space_group_name_H-M 'C 1 2/m 1'
_symmetry_Int_Tables_number 12
_symmetry_space_group_name_Hall '-C 2y'
_cell_length_a 10.798
_cell_length_b 7.157
_cell_length_c 7.688
_cell_angle_alpha 90.00
_cell_angle_beta 105.54
_cell_angle_gamma 90.00
loop_
_atom_site_label
_atom_site_type_symbol
_atom_site_fract_x
_atom_site_fract_y
_atom_site_fract_z
_atom_site_occupancy
Pm1 Pm 0.150 0.000 0.001 1
Y1 Y 0.106 0.500 0.227 1
Sc1 Sc 0.099 0.000 0.381 1
Sc2 Sc 0.140 0.291 0.655 1
# calculated formation energy	168.0	meV/atom
# energy above the most stable polymorph in this dataset	0.1170	eV per atom

=====

2.
# AsOs2Rh (PBE, relaxed)
data_AsOs2Rh
_symmetry_space_group_name_H-M 'A m m 2'
_symmetry_Int_Tables_number 38
_symmetry_space_group_name_Hall 'A 2 -2'
_cell_length_a 3.909
_cell_length_b 2.846
_cell_length_c 10.548
_cell_angle_alpha 90.00
_cell_angle_beta 90.00
_cell_angle_gamma 90.00
loop_
_atom_site_label
_atom_site_type_symbol
_atom_site_fract_x
_atom_site_fract_y
_atom_site_fract_z
_atom_site_occupancy
As1 As 0.000 0.000 0.000 1
Os1 Os 0.000 0.000 0.764 1
Os2 Os 0.500 0.000 0.154 1
Rh1 Rh 0.500 0.000 0.410 1
# calculated formation energy	150.1	meV/atom

=====

3.
# CuAuSe2N (PBE, relaxed)
data_CuAuSe2N
_symmetry_space_group_name_H-M 'P 4/m m m'
_symmetry_Int_Tables_number 123
_symmetry_space_group_name_Hall '-P 4 2'
_cell_length_a 5.323
_cell_length_b 5.323
_cell_length_c 3.718
_cell_angle_alpha 90.00
_cell_angle_beta 90.00
_cell_angle_gamma 90.00
loop_
_atom_site_label
_atom_site_type_symbol
_atom_site_fract_x
_atom_site_fract_y
_atom_site_fract_z
_atom_site_occupancy
Cu1 Cu 0.000 0.000 0.000 1
Au1 Au 0.500 0.500 0.500 1
Se1 Se 0.000 0.500 0.500 1
N1 N 0.500 0.500 0.000 1
# formation energy from raw total energies	1.24	eV per atom
# energy above the most stable polymorph in this dataset	0.2958	eV per atom

=====

Across the entries above, DOS(E_F) takes the values 1.53 0.69 1.09 states/eV per atom, respectively.
Across the entries above, DFT total energy takes the values -5.874 -8.465 -3.289 eV/atom, respectively.